! TlSiCl2 (meta-GGA SCAN, single point on PBEsol structure); values from VASP
&SYSTEM
  ibrav = 0, nat = 4, ntyp = 3
/
ATOMIC_SPECIES
Cl 35.45 Cl.upf
Si 28.09 Si.upf
Tl 204.38 Tl.upf
ATOMIC_POSITIONS angstrom
Cl 0.469 -3.657 -2.353
Cl -0.866 -1.542 0.094
Si -0.474 0.159 -1.754
Tl 2.326 -1.352 -0.750
CELL_PARAMETERS angstrom
-0.947 0.317 -3.508
4.653 -2.704 -1.501
-4.102 -2.812 2.749
! * E_tot: -24.9339 eV per atom
! * offset from the most stable computed form: 0.000 eV/atom
! * raw formation energy: -0.351 eV per atom
! * magnetization: 0.00 μB/cell
! * SG: Immm, No. 71